Record 1
# PBE La6Y3Tm, optimized geometry
# **Space group**: R-3 (148)
# **Total moment**: 0.00 μB per formula unit
# **Total energy**: -5.112 eV per atom
data_La6Y3Tm
_space_group_name_H-M_alt 'P 1'
_space_group_IT_number 1
_cell_length_a 9.1023
_cell_length_b 9.1023
_cell_length_c 9.1023
_cell_angle_alpha 80.02
_cell_angle_beta 80.02
_cell_angle_gamma 80.02
loop_
_space_group_symop_operation_xyz
'x,y,z'
loop_
_atom_site_label
_atom_site_type_symbol
_atom_site_fract_x
_atom_site_fract_y
_atom_site_fract_z
La1 La 0.0363 0.0370 0.3322
La2 La 0.0370 0.3322 0.0363
La3 La 0.2104 0.5958 0.2107
La4 La 0.2107 0.2104 0.5958
La5 La 0.3322 0.0363 0.0370
La6 La 0.4042 0.7893 0.7896
La7 La 0.5958 0.2107 0.2104
La8 La 0.6678 0.9637 0.9630
La9 La 0.7893 0.7896 0.4042
La10 La 0.7896 0.4042 0.7893
La11 La 0.9630 0.6678 0.9637
La12 La 0.9637 0.9630 0.6678
Y1 Y 0.1328 0.6032 0.6044
Y2 Y 0.3956 0.8672 0.3968
Y3 Y 0.3968 0.3956 0.8672
Y4 Y 0.6032 0.6044 0.1328
Y5 Y 0.6044 0.1328 0.6032
Y6 Y 0.8672 0.3968 0.3956
Tm1 Tm 0.0000 0.0000 0.0000
Tm2 Tm 0.5000 0.5000 0.5000



Record 2
# PBE LaY12Tm7, optimized geometry
# **Space group**: Im-3 (204)
# **ΔE to the lowest computed polymorph**: 517.9 meV/atom
# **Total moment**: 0.00 μB per formula unit
data_LaY12Tm7
_space_group_name_H-M_alt 'P 1'
_space_group_IT_number 1
_cell_length_a 9.8168
_cell_length_b 9.8168
_cell_length_c 9.8168
_cell_angle_alpha 109.47
_cell_angle_beta 109.47
_cell_angle_gamma 109.47
loop_
_space_group_symop_operation_xyz
'x,y,z'
loop_
_atom_site_label
_atom_site_type_symbol
_atom_site_fract_x
_atom_site_fract_y
_atom_site_fract_z
La1 La 0.0000 0.0000 0.0000
Y1 Y 0.0013 0.7421 0.2592
Y2 Y 0.2579 0.2592 0.5171
Y3 Y 0.2579 0.7408 0.9987
Y4 Y 0.2592 0.0013 0.7421
Y5 Y 0.2592 0.5171 0.2579
Y6 Y 0.4829 0.7421 0.7408
Y7 Y 0.5171 0.2579 0.2592
Y8 Y 0.7408 0.4829 0.7421
Y9 Y 0.7408 0.9987 0.2579
Y10 Y 0.7421 0.2592 0.0013
Y11 Y 0.7421 0.7408 0.4829
Y12 Y 0.9987 0.2579 0.7408
Tm1 Tm 0.0000 0.0000 0.5000
Tm2 Tm 0.0000 0.5000 0.0000
Tm3 Tm 0.0000 0.5000 0.5000
Tm4 Tm 0.5000 0.0000 0.0000
Tm5 Tm 0.5000 0.0000 0.5000
Tm6 Tm 0.5000 0.5000 0.0000
Tm7 Tm 0.5000 0.5000 0.5000



Record 3
# PBE La2YTm5, optimized geometry
# **Space group**: Cmcm (63)
# **ΔE to the lowest computed polymorph**: 115.3 meV/atom
# **Total moment**: 0.00 μB per formula unit
data_La2YTm5
_space_group_name_H-M_alt 'P 1'
_space_group_IT_number 1
_cell_length_a 6.3311
_cell_length_b 6.3311
_cell_length_c 16.5374
_cell_angle_alpha 90.00
_cell_angle_beta 90.00
_cell_angle_gamma 127.04
loop_
_space_group_symop_operation_xyz
'x,y,z'
loop_
_atom_site_label
_atom_site_type_symbol
_atom_site_fract_x
_atom_site_fract_y
_atom_site_fract_z
La1 La 0.2217 0.7783 0.6338
La2 La 0.2217 0.7783 0.8662
La3 La 0.7783 0.2217 0.1338
La4 La 0.7783 0.2217 0.3662
Y1 Y 0.2093 0.7907 0.2500
Y2 Y 0.7907 0.2093 0.7500
Tm1 Tm 0.0897 0.9103 0.0718
Tm2 Tm 0.0897 0.9103 0.4282
Tm3 Tm 0.3916 0.6084 0.0579
Tm4 Tm 0.3916 0.6084 0.4421
Tm5 Tm 0.4873 0.5127 0.7500
Tm6 Tm 0.5127 0.4873 0.2500
Tm7 Tm 0.6084 0.3916 0.5579
Tm8 Tm 0.6084 0.3916 0.9421
Tm9 Tm 0.9103 0.0897 0.5718
Tm10 Tm 0.9103 0.0897 0.9282



What is the total moment in the first record? 0.00 μB per formula unit



What is the formula in the third record? La2YTm5